Ga2CuRh | Alexandria via LeMat-Bulk | GGA-PBE | relaxed; final energy = -4.627 eV per atom; calculated volume = 14.65 Å³ per atom; SG = R3m (160); size of the total moment = 0.00 μB per formula unit
1.0
1.4621 0.8441 7.9157
-1.4621 0.8441 7.9157
0.0000 -1.6882 7.9157
Ga Cu Rh
2 1 1
direct
0.0000 0.0000 0.0000
0.1684 0.1684 0.1684
0.4183 0.4183 0.4183
0.5837 0.5837 0.5837

Ga2CuRh | Alexandria via LeMat-Bulk | GGA-PBE | relaxed; final energy = -4.707 eV per atom; calculated volume = 14.01 Å³ per atom; SG = P4/mmm (123); size of the total moment = 0.00 μB per formula unit
1.0
4.2548 0.0000 0.0000
0.0000 4.2548 0.0000
0.0000 0.0000 3.0945
Ga Cu Rh
2 1 1
direct
0.0000 0.5000 0.0000
0.5000 0.0000 0.0000
0.0000 0.0000 0.5000
0.5000 0.5000 0.5000

Ga6CuRh2 | Alexandria via LeMat-Bulk | GGA-PBE | relaxed; final energy = -4.414 eV per atom; calculated volume = 15.62 Å³ per atom; SG = P2_1/c (14); size of the total moment = 0.00 μB per formula unit
1.0
4.9667 0.0000 0.0000
0.0000 7.0348 0.0000
-4.2723 0.0000 8.0454
Ga Cu Rh
12 2 4
direct
0.0596 0.1644 0.4478
0.0596 0.3356 0.9478
0.3590 0.6908 0.4406
0.3590 0.8092 0.9406
0.3931 0.0220 0.2926
0.3931 0.4780 0.7926
0.6069 0.5220 0.2074
0.6069 0.9780 0.7074
0.6410 0.1908 0.0594
0.6410 0.3092 0.5594
0.9404 0.6644 0.0522
0.9404 0.8356 0.5522
0.0000 0.0000 0.0000
0.0000 0.5000 0.5000
0.1713 0.1132 0.7579
0.1713 0.3868 0.2579
0.8287 0.6132 0.7421
0.8287 0.8868 0.2421

Ga5Cu2Rh2 | Alexandria via LeMat-Bulk | GGA-PBE | relaxed; final energy = -4.462 eV per atom; calculated volume = 14.97 Å³ per atom; SG = Ima2 (46); size of the total moment = 0.00 μB per formula unit
1.0
-7.7593 2.3816 3.6449
7.7593 -2.3816 3.6449
7.7593 2.3816 -3.6449
Ga Cu Rh
10 4 4
direct
0.0884 0.0829 0.1713
0.0884 0.4171 0.5055
0.1875 0.0277 0.6598
0.3680 0.5277 0.3402
0.5762 0.8084 0.0933
0.5762 0.9829 0.2678
0.7151 0.3084 0.7322
0.7151 0.4829 0.9067
0.9116 0.5829 0.4945
0.9116 0.9171 0.8287
0.0235 0.6836 0.8399
0.6824 0.1824 0.5000
0.6824 0.6824 0.0000
0.8438 0.1836 0.1601
0.2698 0.4375 0.0104
0.2698 0.7594 0.3323
0.4271 0.2594 0.9896
0.4271 0.9375 0.6677

Question: The lowest final energy belongs to which entry?
Answer: number 2